1.
Zn3Pd4Au | PBE | optimized geometry

**M_tot**: 0.00 μB/f.u.
**Formation enthalpy at 0 K**: -0.471 eV/atom
**VASP energy**: -31.64 eV/cell

Structure (CIF):
```
data_Zn3Pd4Au
_cell_length_a 4.113
_cell_length_b 4.113
_cell_length_c 7.114
_cell_angle_alpha 90.00
_cell_angle_beta 90.00
_cell_angle_gamma 90.00
_space_group_name_H-M_alt 'P 4/m m m'
_space_group_IT_number 123
_space_group_name_Hall '-P 4 2'
loop_
_atom_site_label
_atom_site_fract_x
_atom_site_fract_y
_atom_site_fract_z
_atom_site_occupancy
Zn1 0.000 0.000 0.000 1
Zn2 0.000 0.000 0.500 1
Zn3 0.500 0.500 0.000 1
Pd1 0.000 0.500 0.233 1
Au1 0.500 0.500 0.500 1
```


2.
Pr2SeO2 | PBE | optimized geometry

**Formation energy without anion corrections**: -14.566 eV per formula unit
**M_tot**: 0.00 μB/f.u.
**VASP energy**: -300.20 eV/cell

Structure (CIF):
```
data_Pr2SeO2
_cell_length_a 7.787
_cell_length_b 10.072
_cell_length_c 10.598
_cell_angle_alpha 90.00
_cell_angle_beta 90.00
_cell_angle_gamma 90.00
_space_group_name_H-M_alt 'F d d d'
_space_group_IT_number 70
loop_
_space_group_symop_operation_xyz
'x,y,z'
'-x,-y,-z'
'-x+1/4,-y+1/4,z'
'x+1/4,y+1/4,-z'
'x,-y+1/4,-z+1/4'
'-x,y+1/4,z+1/4'
'-x+1/4,y,-z+1/4'
'x+1/4,-y,z+1/4'
'x,y+1/2,z+1/2'
'-x,-y+1/2,-z+1/2'
'-x+1/4,-y+3/4,z+1/2'
'x+1/4,y+3/4,-z+1/2'
'x,-y+3/4,-z+3/4'
'-x,y+3/4,z+3/4'
'-x+1/4,y+1/2,-z+3/4'
'x+1/4,-y+1/2,z+3/4'
'x+1/2,y,z+1/2'
'-x+1/2,-y,-z+1/2'
'-x+3/4,-y+1/4,z+1/2'
'x+3/4,y+1/4,-z+1/2'
'x+1/2,-y+1/4,-z+3/4'
'-x+1/2,y+1/4,z+3/4'
'-x+3/4,y,-z+3/4'
'x+3/4,-y,z+3/4'
'x+1/2,y+1/2,z'
'-x+1/2,-y+1/2,-z'
'-x+3/4,-y+3/4,z'
'x+3/4,y+3/4,-z'
'x+1/2,-y+3/4,-z+1/4'
'-x+1/2,y+3/4,z+1/4'
'-x+3/4,y+1/2,-z+1/4'
'x+3/4,-y+1/2,z+1/4'
loop_
_atom_site_label
_atom_site_fract_x
_atom_site_fract_y
_atom_site_fract_z
_atom_site_occupancy
Pr1 0.125 0.318 0.125 1
Se1 0.125 0.125 0.625 1
O1 0.125 0.125 0.258 1
```


3.
Ce6SbAs3Se2 | PBE | optimized geometry

**Formation energy without anion corrections**: -17.947 eV per formula unit
**M_tot**: 5.37 μB/f.u.
**VASP energy**: -157.18 eV/cell

Structure (CIF):
```
data_Ce6SbAs3Se2
_cell_length_a 18.621
_cell_length_b 4.262
_cell_length_c 8.550
_cell_angle_alpha 90.00
_cell_angle_beta 103.52
_cell_angle_gamma 90.00
_space_group_name_H-M_alt 'C 1 2/m 1'
_space_group_IT_number 12
_space_group_name_Hall '-C 2y'
loop_
_atom_site_label
_atom_site_fract_x
_atom_site_fract_y
_atom_site_fract_z
_atom_site_occupancy
Ce1 0.000 0.000 0.237 1
Ce2 0.165 0.500 0.086 1
Ce3 0.172 0.500 0.582 1
Sb1 0.000 0.500 0.500 1
As1 0.000 0.500 0.000 1
As2 0.165 0.000 0.332 1
Se1 0.168 0.000 0.835 1
```


4.
RbPrHg2 | PBE | optimized geometry

**M_tot**: 0.00 μB/f.u.
**Formation enthalpy at 0 K**: 0.129 eV/atom
**VASP energy**: -17.50 eV/cell
**Offset from the most stable computed form**: 408 meV/atom

Structure (CIF):
```
data_RbPrHg2
_cell_length_a 3.7740
_cell_length_b 3.7740
_cell_length_c 36.6577
_cell_angle_alpha 90.00
_cell_angle_beta 90.00
_cell_angle_gamma 120.00
_space_group_name_H-M_alt 'R -3 m'
_space_group_IT_number 166
_space_group_name_Hall '-R 3 2"'
loop_
_atom_site_label
_atom_site_fract_x
_atom_site_fract_y
_atom_site_fract_z
_atom_site_occupancy
Rb1 0.0000 0.0000 0.0000 1
Pr1 0.0000 0.0000 0.5000 1
Hg1 0.0000 0.0000 0.4127 1
```


5.
Sr2Sn6Pt | PBE | optimized geometry

**M_tot**: 0.00 μB/f.u.
**Formation enthalpy at 0 K**: -0.493 eV/atom
**VASP energy**: -37.86 eV/cell
**Offset from the most stable computed form**: 0 meV/atom

Structure (CIF):
```
data_Sr2Sn6Pt
_cell_length_a 6.8312
_cell_length_b 6.8312
_cell_length_c 6.1135
_cell_angle_alpha 90.00
_cell_angle_beta 90.00
_cell_angle_gamma 120.00
_space_group_name_H-M_alt 'P -3 m 1'
_space_group_IT_number 164
_space_group_name_Hall '-P 3 2"'
loop_
_atom_site_label
_atom_site_fract_x
_atom_site_fract_y
_atom_site_fract_z
_atom_site_occupancy
Sr1 0.3333 0.6667 0.1677 1
Sn1 0.1724 0.3447 0.6910 1
Pt1 0.0000 0.0000 0.0000 1
```


6.
AcGePd | PBE | optimized geometry

**M_tot**: 0.00 μB/f.u.
**Formation enthalpy at 0 K**: -0.455 eV/atom
**VASP energy**: -122.26 eV/cell
**Offset from the most stable computed form**: 434 meV/atom

Structure (CIF):
```
data_AcGePd
_cell_length_a 5.885
_cell_length_b 11.398
_cell_length_c 9.103
_cell_angle_alpha 90.00
_cell_angle_beta 90.00
_cell_angle_gamma 90.00
_space_group_name_H-M_alt 'F d d 2'
_space_group_IT_number 43
_space_group_name_Hall 'F 2 -2d'
loop_
_atom_site_label
_atom_site_fract_x
_atom_site_fract_y
_atom_site_fract_z
_atom_site_occupancy
Ac1 0.000 0.000 0.000 1
Ge1 0.000 0.000 0.647 1
Pd1 0.000 0.000 0.370 1
```


7.
SiBi2AsPb | PBE | optimized geometry

**Formation energy without anion corrections**: 3.473 eV per formula unit
**M_tot**: 0.00 μB/f.u.
**VASP energy**: -18.07 eV/cell

Structure (CIF):
```
data_SiBi2AsPb
_cell_length_a 5.382
_cell_length_b 5.382
_cell_length_c 5.437
_cell_angle_alpha 90.00
_cell_angle_beta 90.00
_cell_angle_gamma 90.00
_space_group_name_H-M_alt 'P 4/m m m'
_space_group_IT_number 123
_space_group_name_Hall '-P 4 2'
loop_
_atom_site_label
_atom_site_fract_x
_atom_site_fract_y
_atom_site_fract_z
_atom_site_occupancy
Si1 0.000 0.000 0.000 1
Bi1 0.000 0.500 0.000 1
As1 0.500 0.500 0.500 1
Pb1 0.000 0.000 0.500 1
```


8.
CoCu2W | PBE | optimized geometry

**M_tot**: 1.79 μB/f.u.
**Formation enthalpy at 0 K**: 0.477 eV/atom
**VASP energy**: -26.34 eV/cell
**Offset from the most stable computed form**: 291 meV/atom

Structure (CIF):
```
data_CoCu2W
_cell_length_a 4.501
_cell_length_b 4.501
_cell_length_c 2.598
_cell_angle_alpha 90.00
_cell_angle_beta 90.00
_cell_angle_gamma 90.00
_space_group_name_H-M_alt 'P 4/m m m'
_space_group_IT_number 123
_space_group_name_Hall '-P 4 2'
loop_
_atom_site_label
_atom_site_fract_x
_atom_site_fract_y
_atom_site_fract_z
_atom_site_occupancy
Co1 0.000 0.000 0.000 1
Cu1 0.000 0.500 0.500 1
W1 0.500 0.500 0.000 1
```


9.
CaPmPd | PBE | optimized geometry

**M_tot**: 0.00 μB/f.u.
**Formation enthalpy at 0 K**: -0.399 eV/atom
**VASP energy**: -13.14 eV/cell
**Offset from the most stable computed form**: 128 meV/atom

Structure (CIF):
```
data_CaPmPd
_cell_length_a 4.0854
_cell_length_b 4.0854
_cell_length_c 6.7156
_cell_angle_alpha 90.00
_cell_angle_beta 90.00
_cell_angle_gamma 120.00
_space_group_name_H-M_alt 'P 3 m 1'
_space_group_IT_number 156
_space_group_name_Hall 'P 3 -2"'
loop_
_atom_site_label
_atom_site_fract_x
_atom_site_fract_y
_atom_site_fract_z
_atom_site_occupancy
Ca1 0.0000 0.0000 0.0000 1
Pm1 0.3333 0.6667 0.4946 1
Pd1 0.6667 0.3333 0.2593 1
```


10.
In3Au8 | PBE | optimized geometry

**M_tot**: 0.00 μB/f.u.
**Formation enthalpy at 0 K**: -0.115 eV/atom
**VASP energy**: -71.39 eV/cell
**Offset from the most stable computed form**: 0 meV/atom

Structure (CIF):
```
data_In3Au8
_cell_length_a 9.582
_cell_length_b 4.226
_cell_length_c 10.680
_cell_angle_alpha 90.00
_cell_angle_beta 103.51
_cell_angle_gamma 90.00
_space_group_name_H-M_alt 'C 1 2/m 1'
_space_group_IT_number 12
_space_group_name_Hall '-C 2y'
loop_
_atom_site_label
_atom_site_fract_x
_atom_site_fract_y
_atom_site_fract_z
_atom_site_occupancy
In1 0.000 0.000 0.000 1
In2 0.104 0.000 0.643 1
Au1 0.047 0.500 0.819 1
Au2 0.132 0.500 0.455 1
Au3 0.174 0.000 0.272 1
Au4 0.225 0.500 0.089 1
```


11.
Pu2As7Pd12 | PBE | optimized geometry

**M_tot**: 11.51 μB/f.u.
**Formation enthalpy at 0 K**: -0.528 eV/atom
**VASP energy**: -134.61 eV/cell

Structure (CIF):
```
data_Pu2As7Pd12
_cell_length_a 10.1404
_cell_length_b 10.1404
_cell_length_c 4.0724
_cell_angle_alpha 90.00
_cell_angle_beta 90.00
_cell_angle_gamma 120.00
_space_group_name_H-M_alt 'P -3'
_space_group_IT_number 147
_space_group_name_Hall '-P 3'
loop_
_atom_site_label
_atom_site_fract_x
_atom_site_fract_y
_atom_site_fract_z
_atom_site_occupancy
Pu1 0.3333 0.6667 0.2474 1
As1 0.0000 0.0000 0.5000 1
As2 0.1281 0.7102 0.7473 1
Pd1 0.0481 0.4320 0.7477 1
Pd2 0.1025 0.2536 0.2326 1
```


12.
Cr2TeCl | PBE | optimized geometry

**Formation energy without anion corrections**: -0.049 eV per formula unit
**M_tot**: 8.99 μB/f.u.
**VASP energy**: -48.57 eV/cell
**Offset from the most stable computed form**: 43 meV/atom

Structure (CIF):
```
data_Cr2TeCl
_cell_length_a 6.979
_cell_length_b 4.018
_cell_length_c 6.887
_cell_angle_alpha 90.00
_cell_angle_beta 109.99
_cell_angle_gamma 90.00
_space_group_name_H-M_alt 'C 1 2/m 1'
_space_group_IT_number 12
_space_group_name_Hall '-C 2y'
loop_
_atom_site_label
_atom_site_fract_x
_atom_site_fract_y
_atom_site_fract_z
_atom_site_occupancy
Cr1 0.249 0.000 0.252 1
Te1 0.000 0.000 0.500 1
Cl1 0.000 0.500 0.000 1
```


The highest M_tot belongs to which entry?
Pu2As7Pd12